(1)
A geometry-optimized ZnCo2Br2 structure. Source: the Alexandria database, functional PBE-GGA.

SG: No. 127
polymorph energy (0 for the lowest one): 0.052 eV/atom
N(E_F): 9.62 states/eV/f.u.
total energy: -3.24 eV per atom

abc: 6.588 6.588 4.017
angles: 90.00 90.00 90.00
Site moments in Bohr magnetons follow the coordinates.
Atoms (fractional coordinates):
Co 0.130 0.370 0.000  1.50
Co 0.630 0.130 0.000  1.50
Br 0.183 0.683 0.500  0.06
Br 0.817 0.317 0.500  0.06
Zn 0.500 0.500 0.000  -0.05
Br 0.683 0.817 0.500  0.06
Co 0.370 0.870 0.000  1.50
Zn 0.000 0.000 0.000  -0.06
Co 0.870 0.630 0.000  1.50
Br 0.317 0.183 0.500  0.06

(2)
A geometry-optimized KAcCd4 structure. Source: the Alexandria database, functional PBE-GGA.

SG: No. 216
polymorph energy (0 for the lowest one): 0.043 eV/atom
N(E_F): 5.38 states/eV/f.u.
total energy: -1.61 eV per atom

abc: 6.271 6.271 6.271
angles: 60.00 60.00 60.00
Atoms (fractional coordinates):
Cd 0.625 0.125 0.625
Cd 0.625 0.625 0.625
Cd 0.125 0.625 0.625
Ac 0.000 0.000 0.000
Cd 0.625 0.625 0.125
K 0.250 0.250 0.250